Here is Hf2ZnBi2 after structural relaxation from Alexandria. Energies are from PBE-GGA.

Values from the calculation:
Energy relative to the lowest polymorph listed for this composition, meV per atom: 197
Total magnetization, μB/f.u.: 0.00
Formation energy from the elements, eV/f.u.: 0.94
Space group: P4/mbm, No. 127
V, Å³/cell: 248.9
Energy, eV/atom: -5.600

Cell: 8.0772 8.0772 3.8156 Å, 90.00 90.00 90.00°
Atoms (fractional coordinates):
1 Hf 0.1342 0.3658 0.0000
2 Hf 0.3658 0.8658 0.0000
3 Hf 0.6342 0.1342 0.0000
4 Hf 0.8658 0.6342 0.0000
5 Zn 0.0000 0.0000 0.5000
6 Zn 0.5000 0.5000 0.5000
7 Bi 0.1593 0.6593 0.5000
8 Bi 0.3407 0.1593 0.5000
9 Bi 0.6593 0.8407 0.5000
10 Bi 0.8407 0.3407 0.5000